Compound: TbAl2Ni9
Source: Alexandria via LeMat-Bulk
Functional: GGA-PBE
Structure: optimized geometry

Summary:
V = 12.75 Å³/atom
Energy relative to the elements = -4.4 eV per formula unit
Spin magnetization = 0.050 μB/atom
E above lowest polymorph = 0 meV per atom

abc: 8.0554 8.0554 4.7143
angles: 90.00 90.00 90.00
Positions (direct):
Tb: 0.0000 0.0000 0.0000
Tb: 0.5000 0.5000 0.0000
Al: 0.1205 0.3795 0.0000
Al: 0.3795 0.8795 0.0000
Al: 0.6205 0.1205 0.0000
Al: 0.8795 0.6205 0.0000
Ni: 0.0000 0.5000 0.5000
Ni: 0.0651 0.2097 0.5000
Ni: 0.1773 0.6773 0.2401
Ni: 0.1773 0.6773 0.7599
Ni: 0.2097 0.9349 0.5000
Ni: 0.2903 0.4349 0.5000
Ni: 0.3227 0.1773 0.2401
Ni: 0.3227 0.1773 0.7599
Ni: 0.4349 0.7097 0.5000
Ni: 0.5000 0.0000 0.5000
Ni: 0.5651 0.2903 0.5000
Ni: 0.6773 0.8227 0.2401
Ni: 0.6773 0.8227 0.7599
Ni: 0.7097 0.5651 0.5000
Ni: 0.7903 0.0651 0.5000
Ni: 0.8227 0.3227 0.2401
Ni: 0.8227 0.3227 0.7599
Ni: 0.9349 0.7903 0.5000